1.
Compound: ZnFeRh2
Source: Alexandria
Functional: PBE
Structure: optimized geometry

Computed properties:
Electronic total energy = -0.230 Ha/atom
Symmetry = R3m
DFT formation energy = -13.93 kJ per mole of atoms

a = 8.5611 Å, b = 8.5611 Å, c = 8.5611 Å
α = 18.43°, β = 18.43°, γ = 18.43°
Closest atoms and distances in Å follow each position.
Element x y z (fractional)
Zn  0.0000  0.0000  0.0000  6 Rh 2.66, 6 Zn 2.74
Fe  0.1666  0.1666  0.1666  6 Rh 2.61, 6 Fe 2.74
Rh  0.4179  0.4179  0.4179  3 Fe 2.61, 3 Zn 2.66, 6 Rh 2.74
Rh  0.5821  0.5821  0.5821  3 Fe 2.61, 3 Zn 2.66, 6 Rh 2.74

2.
Compound: ZnFeRh2
Source: Alexandria
Functional: PBE
Structure: optimized geometry

Computed properties:
Electronic total energy = -0.228 Ha/atom
Symmetry = Pm
DFT formation energy = -10.25 kJ per mole of atoms

a = 2.7175 Å, b = 3.8538 Å, c = 5.2294 Å
α = 90.00°, β = 90.32°, γ = 90.00°
Closest atoms and distances in Å follow each position.
Element x y z (fractional)
Zn  0.0000  0.0000  0.0000  6 Rh 2.57-2.66, 2 Zn 2.72, 4 Fe 2.72-2.73
Fe  0.4983  0.5000  0.2626  6 Rh 2.57-2.66, 2 Fe 2.72, 4 Zn 2.72-2.73
Rh  0.4987  0.5000  0.7713  2 Fe 2.57-2.66, 4 Zn 2.64-2.65, 6 Rh 2.72-2.78
Rh  0.9962  0.0000  0.4906  2 Zn 2.57-2.66, 4 Fe 2.64-2.65, 6 Rh 2.72-2.78

3.
Compound: ZnFeRh2
Source: Alexandria
Functional: PBE
Structure: optimized geometry

Computed properties:
Electronic total energy = -0.229 Ha/atom
Symmetry = I-4m2
DFT formation energy = -11.52 kJ per mole of atoms

a = 4.7878 Å, b = 4.7878 Å, c = 4.7878 Å
α = 134.67°, β = 134.67°, γ = 66.04°
Closest atoms and distances in Å follow each position.
Element x y z (fractional)
Zn  0.0000  0.0000  0.0000  8 Rh 2.61-2.73, 4 Fe 2.73
Fe  0.2500  0.7500  0.5000  8 Rh 2.61-2.73, 4 Zn 2.73
Rh  0.5000  0.5000  0.0000  4 Zn 2.61, 4 Fe 2.73, 4 Rh 2.73
Rh  0.7500  0.2500  0.5000  4 Fe 2.61, 4 Rh 2.73, 4 Zn 2.73